A geometry-optimized SrBe2Br2 structure, computed with PBE-GGA.

The structure in POSCAR format:
```
SrBe2Br2
1.0
-3.456 -0.067 0.491
-0.483 -0.309 -3.444
-1.590 -12.197 -0.453
Be Br Sr
2 2 1
Cartesian
-2.021 -6.347 -2.687
-3.508 -6.226 -0.719
-3.618 -10.552 -2.086
-1.912 -2.021 -1.320
0.000 0.000 0.000
```

Its raw formation energy is -0.328 eV per atom. Its excess energy over the best structure of this formula in the dataset is 0.0 meV per atom. As for the total moment: 0.0 μB/f.u. The calculation puts the total energy at -0.10379 Ha/atom. The value obtained for the density of states at the Fermi level is 0.38 states/eV/f.u.

A geometry-optimized CoICl3 structure, computed with PBE-GGA.

The structure in POSCAR format:
```
CoICl3
1.0
7.318 -0.198 -0.697
3.438 5.975 -0.050
3.171 -1.818 5.073
Cl I Co
6 2 2
Cartesian
10.968 -0.737 4.243
12.765 2.389 4.218
8.274 4.914 2.207
6.767 -0.254 4.738
5.157 4.629 2.410
6.476 1.788 2.233
9.024 2.421 4.480
10.218 1.756 1.971
5.064 0.717 3.671
6.860 3.658 3.477
```

Its raw formation energy is -0.322 eV per atom. Its excess energy over the best structure of this formula in the dataset is 0.0 meV per atom. As for the total moment: 0.0 μB/f.u. The calculation puts the total energy at -0.11616 Ha/atom. The value obtained for the density of states at the Fermi level is 1.72 states/eV/f.u.

A geometry-optimized Cs3PbCl7 structure, computed with PBE-GGA.

The structure in POSCAR format:
```
Cs3PbCl7
1.0
-4.109 6.243 0.828
-7.242 -5.458 5.211
4.927 2.050 8.995
Cl Pb Cs
14 2 6
Cartesian
-4.915 -1.598 4.521
-1.509 4.433 10.513
-4.327 -1.987 10.369
2.064 0.436 6.952
-2.097 4.822 4.665
-2.055 3.122 0.414
-6.407 1.173 10.788
-4.378 -3.844 7.253
0.570 1.273 10.093
-6.994 1.562 4.940
-3.212 1.418 7.517
-0.017 1.662 4.246
-1.518 -1.431 3.259
-0.797 -1.977 10.946
-3.621 -2.729 2.605
2.464 1.025 4.497
-0.004 3.539 7.444
0.000 0.000 0.000
-6.420 -0.704 7.590
-1.157 -1.704 7.103
-3.506 1.731 3.694
-2.918 1.104 11.340
```

Its raw formation energy is -1.426 eV per atom. As for the total moment: 0.2 μB/f.u. The calculation puts the total energy at -0.11653 Ha/atom.

A geometry-optimized Cs6Tl7 structure, computed with PBE-GGA.

The structure in POSCAR format:
```
Cs6Tl7
1.0
7.085 0.000 1.932
3.279 6.281 1.932
0.023 0.014 13.877
Cs Tl
6 7
Cartesian
4.609 2.793 11.016
1.898 1.150 6.997
3.573 2.165 14.817
6.815 4.130 2.924
8.489 5.144 10.743
5.779 3.502 6.725
2.636 3.892 4.292
0.000 0.000 0.000
7.751 2.403 13.449
0.884 0.535 3.259
5.718 5.759 13.449
4.670 0.535 4.292
9.504 5.759 14.481
```

For the formation enthalpy at 0 K, the calculation gives -19.0 meV/atom. As for the total moment: 0.0 μB/f.u. The calculation puts the total energy at -0.06200 Ha/atom. The value obtained for the density of states at the Fermi level is 10.83 states/eV/f.u.